Entry 1:
Computed, not measured: an optimized crystal structure of Rb2CuIF3 at the PBE level of DFT.

```
Rb2CuIF3
1.0
-4.3861 2.3744 -0.3904
-1.6024 -3.1993 -1.4548
0.8620 -2.1967 9.0093
I F Rb Cu
1 3 2 1
direct
0.5000 0.0000 0.0000 I
0.1702 0.1702 0.3404 F
0.8298 0.8298 0.6596 F
0.0000 0.5000 0.0000 F
0.3229 0.3229 0.6458 Rb
0.6771 0.6771 0.3542 Rb
0.0000 0.0000 0.0000 Cu
```

Its space group is Immm, No. 71. The calculation puts the total magnetization at 0.0 μB per formula unit. As for the uncorrected formation energy: -1.699 eV per atom.

---

Entry 2:
Computed, not measured: an optimized crystal structure of NaOsC2O6 at the PBE level of DFT.

```
NaOsC2O6
1.0
-1.3575 -4.3806 -1.5683
3.0063 -3.7749 0.4523
-1.5376 -3.8017 4.4605
Na O C Os
1 6 2 1
direct
0.0000 0.0000 0.0000 Na
0.4958 0.2575 0.2868 O
0.9600 0.4958 0.2868 O
0.2575 0.9600 0.2868 O
0.7425 0.0400 0.7132 O
0.0400 0.5042 0.7132 O
0.5042 0.7425 0.7132 O
0.2367 0.2367 0.2900 C
0.7633 0.7633 0.7100 C
0.5000 0.5000 0.5000 Os
```

Its space group is R-3, No. 148. The calculation puts the total magnetization at 1.0 μB per formula unit. As for the uncorrected formation energy: -1.173 eV per atom.

---

Entry 3:
Computed, not measured: an optimized crystal structure of Li5Tl6In at the PBE level of DFT.

```
Li5Tl6In
1.0
4.9553 0.0188 -1.3739
-3.6972 7.0149 -3.7495
-0.2159 -1.1358 8.6949
Li Tl In
5 6 1
direct
0.5000 0.5000 0.5000 Li
0.0000 0.6668 0.3332 Li
0.5000 0.8422 0.1578 Li
0.0000 0.3332 0.6668 Li
0.5000 0.1578 0.8422 Li
0.2375 0.7334 0.7334 Tl
0.7416 0.9159 0.5682 Tl
0.7416 0.5682 0.9159 Tl
0.2584 0.0841 0.4318 Tl
0.7625 0.2666 0.2666 Tl
0.2584 0.4318 0.0841 Tl
0.0000 0.0000 0.0000 In
```

Its space group is C2/m, No. 12. The calculation puts the total magnetization at 0.0 μB per formula unit. The formation energy is -176 meV/atom.

---

Entry 4:
Computed, not measured: an optimized crystal structure of CuNiSe2N at the PBE level of DFT.

```
CuNiSe2N
1.0
4.9695 0.0000 0.0000
0.0000 4.9695 0.0000
0.0000 0.0000 3.3478
Se Ni N Cu
2 1 1 1
direct
0.5000 0.0000 0.0000 Se
0.0000 0.5000 0.0000 Se
0.0000 0.0000 0.0000 Ni
0.0000 0.0000 0.5000 N
0.5000 0.5000 0.5000 Cu
```

The value obtained for the excess energy over the best structure of this formula in the dataset is 0 meV per atom. Its space group is P4/mmm, No. 123. The calculation puts the total magnetization at 0.0 μB per formula unit. As for the uncorrected formation energy: 0.643 eV per atom.